1.
# PBE Pr2Mn2InRh5, relaxed
# * formation energy: -34.9 kJ/mol of atoms
# * DOS at the Fermi energy: 14.38 states/eV per cell
data_Pr2Mn2InRh5
_chemical_formula_sum 'Pr4 Mn4 In2 Rh10'
_cell_length_a 9.789
_cell_length_b 9.789
_cell_length_c 3.794
_cell_angle_alpha 90.00
_cell_angle_beta 90.00
_cell_angle_gamma 90.00
_symmetry_space_group_name_H-M 'P 4/m b m'
_symmetry_Int_Tables_number 127
_symmetry_space_group_name_Hall '-P 4 2ab'
loop_
_atom_site_label
_atom_site_fract_x
_atom_site_fract_y
_atom_site_fract_z
_atom_site_occupancy
Pr1 0.181 0.319 0.000 1
Mn1 0.117 0.617 0.000 1
In1 0.000 0.000 0.000 1
Rh1 0.000 0.500 0.500 1
Rh2 0.064 0.788 0.500 1

***

2.
# PBE PrYMnIn, relaxed
# * formation energy: -7.9 kJ/mol of atoms
# * DOS at the Fermi energy: 17.43 states/eV per cell
data_PrYMnIn
_chemical_formula_sum 'Pr4 Y4 Mn4 In4'
_cell_length_a 7.516
_cell_length_b 7.516
_cell_length_c 7.516
_cell_angle_alpha 90.00
_cell_angle_beta 90.00
_cell_angle_gamma 90.00
_symmetry_space_group_name_H-M 'F -4 3 m'
_symmetry_Int_Tables_number 216
_symmetry_space_group_name_Hall 'F -4 2 3'
loop_
_atom_site_label
_atom_site_fract_x
_atom_site_fract_y
_atom_site_fract_z
_atom_site_occupancy
Pr1 0.000 0.000 0.000 1
Y1 0.000 0.000 0.500 1
Mn1 0.250 0.250 0.750 1
In1 0.250 0.250 0.250 1